A relaxed TbNd5Ho2Sc crystal, computed with PBE.

Cell: 11.270 11.270 10.255 Å, 90.00 90.00 152.41°
Atoms (fractional coordinates):
Tb (0.101, 0.899, 0.500)
Tb (0.899, 0.101, 0.000)
Nd (0.000, 0.000, 0.250)
Nd (0.000, 0.000, 0.750)
Nd (0.127, 0.873, 0.000)
Nd (0.221, 0.779, 0.689)
Nd (0.222, 0.778, 0.313)
Nd (0.499, 0.501, 0.500)
Nd (0.501, 0.499, 0.000)
Nd (0.778, 0.222, 0.813)
Nd (0.779, 0.221, 0.189)
Nd (0.873, 0.127, 0.500)
Ho (0.384, 0.616, 0.752)
Ho (0.385, 0.615, 0.248)
Ho (0.615, 0.385, 0.748)
Ho (0.616, 0.384, 0.252)
Sc (0.286, 0.714, 0.001)
Sc (0.714, 0.286, 0.501)

Summary:
electronic total energy: -4.758 eV/atom
density of states at the Fermi level: 13.2 states/eV/f.u.
calculated volume: 33.5 Å³ per atom